Material: YW2Se
Method: DFT, PBE
State: relaxed

Cell: 3.8202 3.8202 10.6570 Å, 90.00 90.00 90.00°
Closest atoms and distances in Å follow each position.
Positions (direct):
Y  0.0000  0.0000  0.0000  4 Se 2.70
Y  0.5000  0.5000  0.5000  4 Se 2.70
W  0.0000  0.5000  0.2500  4 W 2.70
W  0.0000  0.5000  0.7500  4 W 2.70
W  0.5000  0.0000  0.2500  4 W 2.70
W  0.5000  0.0000  0.7500  4 W 2.70
Se  0.0000  0.0000  0.5000  4 Y 2.70
Se  0.5000  0.5000  0.0000  4 Y 2.70

- Symmetry: I4/mmm (139)
- Spin magnetization: 0.000 μB per atom
- Energy relative to the elements, uncorrected: 0.260 eV/atom